Entry 1:
First-principles (PBE-GGA) data for a relaxed structure of Rb2ZnSi, as listed in Alexandria via LeMat-Bulk.

Lattice parameters (Å, degrees): 6.080 6.080 6.080 60.00 60.00 60.00
Each line ends with the local moment (μB).
Positions (direct):
Zn 0.500 0.500 0.500  0.03
Si 0.000 0.000 0.000  0.46
Rb 0.250 0.250 0.250  0.03
Rb 0.750 0.750 0.750  0.03

total DFT energy (no corrections)	-0.0607	hartree per atom
space-group type	Fm-3m, No. 225
formation energy (no corrections)	0.506	eV per atom
spin magnetization	2.00	μB/f.u.

Entry 2:
First-principles (PBE-GGA) data for a relaxed structure of LaSm12Y6, as listed in Alexandria via LeMat-Bulk.

Lattice parameters (Å, degrees): 8.667 8.667 8.667 89.03 89.03 89.03
Positions (direct):
La 0.000 0.000 0.000
Sm 0.777 0.539 0.433
Sm 0.433 0.777 0.539
Sm 0.539 0.433 0.777
Sm 0.223 0.461 0.567
Sm 0.567 0.223 0.461
Sm 0.461 0.567 0.223
Sm 0.015 0.203 0.359
Sm 0.797 0.641 0.985
Sm 0.641 0.985 0.797
Sm 0.985 0.797 0.641
Sm 0.203 0.359 0.015
Sm 0.359 0.015 0.203
Y 0.740 0.903 0.306
Y 0.694 0.260 0.097
Y 0.097 0.694 0.260
Y 0.260 0.097 0.694
Y 0.306 0.740 0.903
Y 0.903 0.306 0.740

polymorph energy (0 for the lowest one)	0	meV/atom
total DFT energy (no corrections)	-0.1889	hartree per atom
space-group type	R-3, No. 148
spin magnetization	0.00	μB/f.u.
DFT formation energy	0.141	eV per atom

Entry 3:
First-principles (PBE-GGA) data for a relaxed structure of ThMnFeB2, as listed in Alexandria via LeMat-Bulk.

Lattice parameters (Å, degrees): 3.590 3.590 5.705 108.34 108.34 90.00
Each line ends with the local moment (μB).
Positions (direct):
Th 0.000 0.000 0.000  -0.08
Mn 0.250 0.750 0.500  1.79
Fe 0.750 0.250 0.500  0.95
B 0.648 0.648 0.296  -0.09
B 0.352 0.352 0.704  -0.09

total DFT energy (no corrections)	-0.2962	hartree per atom
space-group type	I-4m2, No. 119
spin magnetization	2.44	μB/f.u.
DFT formation energy	-0.380	eV per atom